No. 1
A plane-wave DFT calculation with GGA-PBE was carried out for crystalline BaLaNi2 at its relaxed geometry.

The structure belongs to space group F-43m (No. 216); the cell edges are 7.057, 7.057 and 7.057 Å and the angles 90.00°, 90.00° and 90.00°. Symmetry generates all atoms from Ba at (0.000, 0.000, 0.000), La at (0.250, 0.250, 0.750), Ni at (0.000, 0.000, 0.500) and Ni at (0.250, 0.250, 0.250).

Its total magnetization is 0.00 μB per formula unit. As for the relative energy among the computed polymorphs: 0.391 eV/atom. The formation enthalpy at 0 K is 0.3082 eV per atom.

=====

No. 2
A plane-wave DFT calculation with GGA-PBE was carried out for crystalline BaLaNi2 at its relaxed geometry.

The structure belongs to space group I-4m2 (No. 119); the cell edges are 4.183, 4.183 and 11.070 Å and the angles 90.00°, 90.00° and 90.00°. Symmetry generates all atoms from Ba at (0.000, 0.000, 0.000), La at (0.000, 0.500, 0.750), Ni at (0.000, 0.000, 0.500) and Ni at (0.000, 0.500, 0.250).

Its total magnetization is 0.00 μB per formula unit. As for the relative energy among the computed polymorphs: 0.289 eV/atom. The formation enthalpy at 0 K is 0.2069 eV per atom.